[1]
Below is NaEr2Ga after structural relaxation, with properties calculated at the GGA-PBE level. Values from VASP.

Values from the calculation:
**Energy above the most stable polymorph in this dataset**: 115 meV/atom
**Formation enthalpy at 0 K**: -0.03 eV per atom

Quantum ESPRESSO input file:
```
&SYSTEM
  ibrav = 0, nat = 4, ntyp = 3
/
ATOMIC_SPECIES
Na 22.99 Na.upf
Er 167.26 Er.upf
Ga 69.72 Ga.upf
CELL_PARAMETERS angstrom
1.759 1.016 11.254
-1.759 1.016 11.254
0.000 -2.031 11.254
ATOMIC_POSITIONS crystal
Na 0.000 0.000 0.000
Er 0.104 0.104 0.104
Er 0.896 0.896 0.896
Ga 0.500 0.500 0.500
```

=====

[2]
Below is Sr2TlP after structural relaxation, with properties calculated at the GGA-PBE level. Values from VASP.

Values from the calculation:
**Energy above the most stable polymorph in this dataset**: 169 meV/atom
**Formation enthalpy at 0 K**: -0.48 eV per atom

Quantum ESPRESSO input file:
```
&SYSTEM
  ibrav = 0, nat = 4, ntyp = 3
/
ATOMIC_SPECIES
Sr 87.62 Sr.upf
Tl 204.38 Tl.upf
P 30.97 P.upf
CELL_PARAMETERS angstrom
-2.396 2.678 4.646
2.396 -2.678 4.646
2.396 2.678 -4.646
ATOMIC_POSITIONS crystal
Sr 0.231 0.231 0.000
Sr 0.769 0.769 0.000
Tl 0.500 0.000 0.500
P 0.000 0.500 0.500
```

=====

[3]
Below is PaBrN after structural relaxation, with properties calculated at the GGA-PBE level. Values from VASP.

Values from the calculation:
**Formation energy from raw total energies**: -1.403 eV/atom

Quantum ESPRESSO input file:
```
&SYSTEM
  ibrav = 0, nat = 3, ntyp = 3
/
ATOMIC_SPECIES
Pa 231.04 Pa.upf
Br 79.90 Br.upf
N 14.01 N.upf
CELL_PARAMETERS angstrom
3.806 0.000 0.000
-1.903 3.296 0.000
0.000 0.000 4.952
ATOMIC_POSITIONS crystal
Pa 0.000 0.000 0.000
Br 0.667 0.333 0.500
N 0.333 0.667 0.000
```

=====

[4]
Below is NpCrCo4 after structural relaxation, with properties calculated at the GGA-PBE level. Values from VASP.

Values from the calculation:
**Formation enthalpy at 0 K**: 0.08 eV per atom

Quantum ESPRESSO input file:
```
&SYSTEM
  ibrav = 0, nat = 6, ntyp = 3
/
ATOMIC_SPECIES
Np 237.00 Np.upf
Cr 52.00 Cr.upf
Co 58.93 Co.upf
CELL_PARAMETERS angstrom
0.000 3.425 3.425
3.425 0.000 3.425
3.425 3.425 0.000
ATOMIC_POSITIONS crystal
Np 0.000 0.000 0.000
Cr 0.750 0.750 0.750
Co 0.376 0.376 0.376
Co 0.376 0.376 0.872
Co 0.376 0.872 0.376
Co 0.872 0.376 0.376
```

=====

[5]
Below is As2WSeBr after structural relaxation, with properties calculated at the GGA-PBE level. Values from VASP.

Values from the calculation:
**Formation energy from raw total energies**: 1.609 eV/atom
**Energy above the most stable polymorph in this dataset**: 1298 meV/atom

Quantum ESPRESSO input file:
```
&SYSTEM
  ibrav = 0, nat = 5, ntyp = 4
/
ATOMIC_SPECIES
As 74.92 As.upf
W 183.84 W.upf
Se 78.96 Se.upf
Br 79.90 Br.upf
CELL_PARAMETERS angstrom
5.091 0.000 0.000
0.000 5.091 0.000
0.000 0.000 4.877
ATOMIC_POSITIONS crystal
As 0.000 0.500 0.000
As 0.500 0.000 0.000
W 0.000 0.000 0.500
Se 0.500 0.500 0.000
Br 0.500 0.500 0.500
```

=====

[6]
Below is RbPuCuBr6 after structural relaxation, with properties calculated at the GGA-PBE level. Values from VASP.

Values from the calculation:
**Formation energy from raw total energies**: -1.166 eV/atom

Quantum ESPRESSO input file:
```
&SYSTEM
  ibrav = 0, nat = 18, ntyp = 4
/
ATOMIC_SPECIES
Rb 85.47 Rb.upf
Pu 244.00 Pu.upf
Cu 63.55 Cu.upf
Br 79.90 Br.upf
CELL_PARAMETERS angstrom
7.092 0.000 0.000
-3.546 6.142 0.000
0.000 0.000 15.605
ATOMIC_POSITIONS crystal
Rb 0.000 0.000 0.000
Rb 0.000 0.000 0.500
Pu 0.333 0.667 0.250
Pu 0.667 0.333 0.750
Cu 0.333 0.667 0.750
Cu 0.667 0.333 0.250
Br 0.015 0.374 0.650
Br 0.015 0.640 0.850
Br 0.360 0.374 0.850
Br 0.360 0.985 0.650
Br 0.374 0.015 0.150
Br 0.374 0.360 0.350
Br 0.626 0.640 0.650
Br 0.626 0.985 0.850
Br 0.640 0.015 0.350
Br 0.640 0.626 0.150
Br 0.985 0.360 0.150
Br 0.985 0.626 0.350
```

=====

[7]
Below is Ba2NaPb2 after structural relaxation, with properties calculated at the GGA-PBE level. Values from VASP.

Values from the calculation:
**Energy above the most stable polymorph in this dataset**: 9 meV/atom
**Formation enthalpy at 0 K**: -0.43 eV per atom

Quantum ESPRESSO input file:
```
&SYSTEM
  ibrav = 0, nat = 10, ntyp = 3
/
ATOMIC_SPECIES
Ba 137.33 Ba.upf
Na 22.99 Na.upf
Pb 207.20 Pb.upf
CELL_PARAMETERS angstrom
8.986 0.000 0.000
0.000 8.986 0.000
0.000 0.000 5.134
ATOMIC_POSITIONS crystal
Ba 0.168 0.332 0.000
Ba 0.332 0.832 0.000
Ba 0.668 0.168 0.000
Ba 0.832 0.668 0.000
Na 0.000 0.000 0.500
Na 0.500 0.500 0.500
Pb 0.126 0.626 0.500
Pb 0.374 0.126 0.500
Pb 0.626 0.874 0.500
Pb 0.874 0.374 0.500
```

=====

[8]
Below is LaTl after structural relaxation, with properties calculated at the GGA-PBE level. Values from VASP.

Values from the calculation:
**Formation enthalpy at 0 K**: -0.25 eV per atom

Quantum ESPRESSO input file:
```
&SYSTEM
  ibrav = 0, nat = 2, ntyp = 2
/
ATOMIC_SPECIES
La 138.91 La.upf
Tl 204.38 Tl.upf
CELL_PARAMETERS angstrom
3.729 0.000 0.000
-1.865 3.230 0.000
0.000 0.000 5.390
ATOMIC_POSITIONS crystal
La 0.000 0.000 0.000
Tl 0.667 0.333 0.500
```

=====

[9]
Below is AlTcMo2 after structural relaxation, with properties calculated at the GGA-PBE level. Values from VASP.

Values from the calculation:
**Formation enthalpy at 0 K**: -0.06 eV per atom

Quantum ESPRESSO input file:
```
&SYSTEM
  ibrav = 0, nat = 4, ntyp = 3
/
ATOMIC_SPECIES
Al 26.98 Al.upf
Tc 98.00 Tc.upf
Mo 95.94 Mo.upf
CELL_PARAMETERS angstrom
1.570 -2.233 0.000
1.570 2.233 0.000
0.000 0.000 8.722
ATOMIC_POSITIONS crystal
Al 0.000 0.000 0.000
Tc 0.500 0.500 0.758
Mo 0.000 0.000 0.508
Mo 0.500 0.500 0.252
```